Computed, not measured: an optimized crystal structure of KWNO2 at the GGA+U level of DFT.

POSCAR file:
```
KWNO2
1.0
4.3342 0.0000 0.0000
0.0000 4.3342 0.0000
0.0000 0.0000 4.2260
K W N O
1 1 1 2
Direct
0.0000 0.0000 0.0000
0.5000 0.5000 0.5000
0.0000 0.0000 0.5000
0.0000 0.5000 0.0000
0.5000 0.0000 0.0000
```

Computed properties:
The density of states at the Fermi level is 2.2 states/eV/f.u. Its uncorrected energy is -17.29 eV/cell. The space group is P4/mmm, No. 123.